Material: NaSiSnIr
Method: DFT, PBE
State: optimized geometry

Calculated values
**Energy above the most stable polymorph in this dataset**: 0.356 eV per atom

abc: 4.6414 4.6414 4.6414
angles: 60.00 60.00 60.00
With the nearest neighbours (Å) after each atom.
Positions (direct):
Si1 0.2500 0.2500 0.2500  4 Ir 2.84, 4 Sn 2.84
Sn1 0.0000 0.0000 0.0000  4 Na 2.84, 4 Si 2.84
Na1 0.7500 0.7500 0.7500  4 Sn 2.84, 4 Ir 2.84
Ir1 0.5000 0.5000 0.5000  4 Si 2.84, 4 Na 2.84

Material: NaSiSnIr
Method: DFT, PBE
State: optimized geometry

Calculated values
**Energy above the most stable polymorph in this dataset**: 0.000 eV per atom

abc: 4.5750 4.5750 4.5750
angles: 60.00 60.00 60.00
With the nearest neighbours (Å) after each atom.
Positions (direct):
Sn1 0.0000 0.0000 0.0000  4 Na 2.80, 4 Ir 2.80
Ir1 0.2500 0.2500 0.2500  4 Si 2.80, 4 Sn 2.80
Na1 0.7500 0.7500 0.7500  4 Si 2.80, 4 Sn 2.80
Si1 0.5000 0.5000 0.5000  4 Ir 2.80, 4 Na 2.80

Material: Na2Sn5Ir
Method: DFT, PBE
State: optimized geometry

Calculated values
**E**: -3.970 eV/atom

abc: 6.7556 6.7556 5.0592
angles: 90.00 90.00 90.00
With the nearest neighbours (Å) after each atom.
Positions (direct):
Sn1 0.7146 0.7146 0.0000  1 Ir 2.73, 2 Sn 2.90
Sn2 0.7146 0.2854 0.0000  1 Ir 2.73, 2 Sn 2.90
Sn3 0.2854 0.7146 0.0000  1 Ir 2.73, 2 Sn 2.90
Sn4 0.0000 0.0000 0.5000  2 Ir 2.53
Sn5 0.2854 0.2854 0.0000  1 Ir 2.73, 2 Sn 2.90
Na1 0.0000 0.5000 0.5000  10 Sn 3.38-3.50
Na2 0.5000 0.0000 0.5000  10 Sn 3.38-3.50
Ir1 0.0000 0.0000 0.0000  6 Sn 2.53-2.73

Material: NaSn5Ir3
Method: DFT, PBE
State: optimized geometry

Calculated values
**E**: -5.432 eV/atom

abc: 5.5951 5.5951 7.9253
angles: 90.00 90.00 120.00
With the nearest neighbours (Å) after each atom.
Positions (direct):
Sn1 0.6667 0.3333 0.2157  3 Ir 2.77
Sn2 0.6667 0.3333 0.7843  3 Ir 2.77
Sn3 0.3333 0.6667 0.7843  3 Ir 2.77
Sn4 0.3333 0.6667 0.2157  3 Ir 2.77
Sn5 0.0000 0.0000 0.5000  6 Ir 2.80
Ir1 0.0000 0.5000 0.5000  6 Sn 2.77-2.80, 4 Ir 2.80
Ir2 0.5000 0.0000 0.5000  6 Sn 2.77-2.80, 4 Ir 2.80
Ir3 0.5000 0.5000 0.5000  6 Sn 2.77-2.80, 4 Ir 2.80
Na1 0.0000 0.0000 0.0000  14 Sn 3.65-3.96